[1]
The following is a PBE calculation of crystalline Rb2AlO3 at its relaxed geometry, from Alexandria.

Values from the calculation:
Formation energy without anion corrections = -1899.9 meV per atom

Cell lengths 5.8288, 7.1072, 6.9224 Å; angles 120.89, 90.00, 90.00 degrees
With the nearest neighbours (Å) after each atom.
Sites, in units of the cell vectors:
Rb 0.7500 0.5441 0.6972  6 O 2.84-3.17
Rb 0.2500 0.4559 0.3028  6 O 2.84-3.17
Al 0.7500 0.1419 0.0000  4 O 1.77
O 0.0000 0.0000 0.0000  2 Al 1.77
O 0.2500 0.8145 0.2304  1 Al 1.77
Rb 0.2500 0.1530 0.6972  6 O 2.84-3.17
O 0.5000 0.0000 0.0000  2 Al 1.77
O 0.7500 0.1855 0.7696  1 Al 1.77
O 0.2500 0.5842 0.7696  1 Al 1.77
O 0.7500 0.4158 0.2304  1 Al 1.77
Al 0.2500 0.8581 0.0000  4 O 1.77
Rb 0.7500 0.8470 0.3028  6 O 2.84-3.17

[2]
The following is a PBE calculation of crystalline SrCoTe2 at its relaxed geometry, from Alexandria.

Values from the calculation:
Formation energy without anion corrections = -276.1 meV per atom

Cell lengths 4.4022, 7.6785, 6.2621 Å; angles 35.38, 90.00, 90.00 degrees
With the nearest neighbours (Å) after each atom.
Sites, in units of the cell vectors:
Sr 0.0000 0.0000 0.5000  6 Te 3.13
Te 0.0000 0.0000 0.0000  4 Co 3.13, 2 Sr 3.13
Te 0.5000 0.5000 0.0000  4 Sr 3.13, 2 Co 3.13
Co 0.5000 0.5000 0.5000  6 Te 3.13

[3]
The following is a PBE calculation of crystalline Sc2HPb2 at its relaxed geometry, from Alexandria.

Values from the calculation:
Energy above the most stable polymorph in this dataset = 0 meV per atom

Cell lengths 3.5013, 8.0853, 7.9434 Å; angles 90.00, 102.73, 90.00 degrees
With the nearest neighbours (Å) after each atom.
Sites, in units of the cell vectors:
Sc 0.8742 0.0438 0.7484  2 H 1.94
Sc 0.1258 0.5438 0.2516  2 H 1.94
H 0.3874 0.1431 0.7748  3 Sc 1.94-1.95
Pb 0.0711 0.1833 0.1421  6 Sc 3.04-3.25, 1 Pb 3.32, 2 H 3.36
Pb 0.2267 0.9009 0.4534  5 Sc 3.10-3.28, 3 H 3.17-3.25, 1 Pb 3.32
Sc 0.5617 0.8632 0.1233  1 H 1.95
Pb 0.9289 0.6833 0.8579  6 Sc 3.04-3.25, 1 Pb 3.32, 2 H 3.36
Sc 0.4383 0.3632 0.8767  1 H 1.95
H 0.6126 0.6431 0.2252  3 Sc 1.94-1.95
Pb 0.7733 0.4009 0.5466  5 Sc 3.10-3.28, 3 H 3.17-3.25, 1 Pb 3.32

[4]
The following is a PBE calculation of crystalline LaTe2PC at its relaxed geometry, from Alexandria.

Values from the calculation:
Formation energy without anion corrections = 1344.7 meV per atom

Cell lengths 6.2133, 4.6080, 6.2133 Å; angles 90.00, 90.00, 90.00 degrees
With the nearest neighbours (Å) after each atom.
Sites, in units of the cell vectors:
La 0.0000 0.0000 0.0000  2 C 2.30
P 0.5000 0.5000 0.5000  8 Te 3.87
C 0.0000 0.5000 0.0000  2 La 2.30
Te 0.5000 0.0000 0.0000  2 La 3.11
Te 0.0000 0.0000 0.5000  2 La 3.11

[5]
The following is a PBE calculation of crystalline CdNi2AsPd at its relaxed geometry, from Alexandria.

Values from the calculation:
Formation energy from the elements = 1.207 eV/atom

Cell lengths 4.6378, 4.9198, 4.6378 Å; angles 90.00, 90.00, 90.00 degrees
With the nearest neighbours (Å) after each atom.
Sites, in units of the cell vectors:
Ni 0.0000 0.0000 0.5000  2 Cd 2.32
Cd 0.0000 0.0000 0.0000  4 Ni 2.32, 2 Pd 2.46
As 0.5000 0.5000 0.5000  4 Pd 3.28, 8 Ni 3.38
Pd 0.0000 0.5000 0.0000  2 Cd 2.46
Ni 0.5000 0.0000 0.0000  2 Cd 2.32

[6]
The following is a PBE calculation of crystalline Y5MgCo at its relaxed geometry, from Alexandria.

Values from the calculation:
Formation energy from the elements = 0.033 eV/atom

Cell lengths 6.4859, 6.4859, 11.4548 Å; angles 71.52, 71.52, 64.49 degrees
With the nearest neighbours (Å) after each atom.
Sites, in units of the cell vectors:
Mg 0.4550 0.5450 0.2500  10 Y 3.30-3.67
Y 0.1924 0.5541 0.5488  1 Co 2.56
Y 0.6054 0.9646 0.6312  1 Co 2.59
Y 0.3946 0.0354 0.3688  1 Co 2.59
Y 0.4459 0.8076 0.9512  1 Co 2.56
Co 0.0000 0.0000 0.0000  4 Y 2.56-2.59
Y 0.0354 0.3946 0.8688  1 Co 2.59
Mg 0.5450 0.4550 0.7500  10 Y 3.30-3.67
Y 0.5541 0.1924 0.0488  1 Co 2.56
Y 0.9646 0.6054 0.1312  1 Co 2.59
Y 0.0229 0.9771 0.7500  2 Co 2.87
Y 0.8076 0.4459 0.4512  1 Co 2.56
Co 0.0000 0.0000 0.5000  4 Y 2.56-2.59
Y 0.9771 0.0229 0.2500  2 Co 2.87

| no. | total energy (eV per atom) |
| --- | --- |
| 1 | -5.33 |
| 2 | -4.04 |
| 3 | -5.02 |
| 4 | -3.82 |
| 5 | -3.26 |
| 6 | -5.83 |